Pm4As3Se, relaxed, DFT PBE; raw formation energy = -158.50 kJ/mol of atoms
1.0
5.980 0.000 0.000
0.000 5.980 0.000
0.000 0.000 5.980
Pm Se As
4 1 3
direct
0.500 0.000 0.000 Pm
0.000 0.500 0.000 Pm
0.500 0.500 0.500 Pm
0.000 0.000 0.500 Pm
0.000 0.000 0.000 Se
0.500 0.500 0.000 As
0.000 0.500 0.500 As
0.500 0.000 0.500 As

La7Dy3Er, relaxed, DFT PBE; ΔE_f = 189 kJ/mol of formula units
1.0
-8.481 -0.988 -5.225
2.903 0.905 9.534
2.372 12.391 3.286
Er Dy La
2 6 14
direct
0.500 0.500 0.000 Er
0.499 0.499 0.499 Er
0.336 0.703 0.231 Dy
0.299 0.666 0.731 Dy
0.000 0.000 0.000 Dy
0.701 0.334 0.269 Dy
0.999 0.999 0.500 Dy
0.664 0.298 0.769 Dy
0.568 0.914 0.467 La
0.100 0.433 0.476 La
0.377 0.377 0.749 La
0.837 0.089 0.729 La
0.913 0.164 0.230 La
0.432 0.086 0.533 La
0.163 0.911 0.271 La
0.087 0.836 0.771 La
0.624 0.624 0.250 La
0.568 0.901 0.977 La
0.914 0.568 0.033 La
0.900 0.567 0.524 La
0.432 0.100 0.023 La
0.086 0.432 0.967 La

ScZn2Co, relaxed, DFT PBE; ΔE_f = -104 kJ/mol of formula units
1.0
-4.146 -1.713 -1.853
3.790 -3.836 -4.933
0.528 -10.805 8.808
Zn Co Sc
16 8 8
direct
0.440 0.549 0.287 Zn
0.940 0.049 0.213 Zn
0.440 0.951 0.287 Zn
0.243 0.053 0.462 Zn
0.257 0.447 0.962 Zn
0.060 0.951 0.787 Zn
0.757 0.947 0.538 Zn
0.257 0.053 0.962 Zn
0.243 0.447 0.462 Zn
0.940 0.451 0.213 Zn
0.560 0.049 0.713 Zn
0.743 0.947 0.038 Zn
0.560 0.451 0.713 Zn
0.757 0.553 0.538 Zn
0.060 0.549 0.787 Zn
0.743 0.553 0.038 Zn
0.468 0.750 0.430 Co
0.719 0.750 0.186 Co
0.781 0.750 0.686 Co
0.281 0.250 0.814 Co
0.032 0.750 0.930 Co
0.219 0.250 0.314 Co
0.968 0.250 0.070 Co
0.532 0.250 0.570 Co
0.269 0.750 0.604 Sc
0.769 0.250 0.896 Sc
0.731 0.250 0.396 Sc
0.231 0.750 0.104 Sc
0.951 0.750 0.360 Sc
0.549 0.750 0.860 Sc
0.049 0.250 0.640 Sc
0.451 0.250 0.140 Sc